Compound: MnFe3
Source: Alexandria via LeMat-Bulk
Functional: PBE
Structure: optimized geometry

Summary:
The calculation puts the formation energy at 34.5 meV per atom. The value obtained for the total magnetic moment is 0.06 μB per formula unit.

```
data_MnFe3
_symmetry_space_group_name_H-M 'P m m 2'
_symmetry_Int_Tables_number 25
_symmetry_space_group_name_Hall 'P 2 -2'
_cell_length_a 2.4641
_cell_length_b 3.9563
_cell_length_c 4.3253
_cell_angle_alpha 90.00
_cell_angle_beta 90.00
_cell_angle_gamma 90.00
loop_
_atom_site_label
_atom_site_fract_x
_atom_site_fract_y
_atom_site_fract_z
_atom_site_occupancy
Mn1 0.0000 0.0000 0.0000 1
Fe1 0.0000 0.5000 0.6664 1
Fe2 0.5000 0.0000 0.5026 1
Fe3 0.5000 0.5000 0.1712 1
```

Compound: Sr2AcAuO5
Source: Alexandria via LeMat-Bulk
Functional: PBE
Structure: optimized geometry

Summary:
The value obtained for the formation energy without anion corrections is -2.164 eV per atom. The value obtained for the total magnetic moment is 0.00 μB per formula unit.

```
data_Sr2AcAuO5
_symmetry_space_group_name_H-M 'P 4/m b m'
_symmetry_Int_Tables_number 127
_symmetry_space_group_name_Hall '-P 4 2ab'
_cell_length_a 6.8004
_cell_length_b 6.8004
_cell_length_c 6.1220
_cell_angle_alpha 90.00
_cell_angle_beta 90.00
_cell_angle_gamma 90.00
loop_
_atom_site_label
_atom_site_fract_x
_atom_site_fract_y
_atom_site_fract_z
_atom_site_occupancy
Sr1 0.1708 0.3292 0.0000 1
Ac1 0.0000 0.0000 0.5000 1
Au1 0.0000 0.5000 0.5000 1
O1 0.0000 0.0000 0.0000 1
O2 0.1550 0.6550 0.2820 1
```

Compound: HoPa2S3
Source: Alexandria via LeMat-Bulk
Functional: PBE
Structure: optimized geometry

Summary:
The value obtained for the formation energy without anion corrections is -1.720 eV per atom. The value obtained for the total magnetic moment is 0.00 μB per formula unit.

```
data_HoPa2S3
_symmetry_space_group_name_H-M 'P 1 21/c 1'
_symmetry_Int_Tables_number 14
_symmetry_space_group_name_Hall '-P 2ybc'
_cell_length_a 5.4952
_cell_length_b 11.7626
_cell_length_c 7.7232
_cell_angle_alpha 90.00
_cell_angle_beta 90.06
_cell_angle_gamma 90.00
loop_
_atom_site_label
_atom_site_fract_x
_atom_site_fract_y
_atom_site_fract_z
_atom_site_occupancy
Ho1 0.2498 0.0837 0.1280 1
Pa1 0.2496 0.0831 0.6224 1
Pa2 0.2506 0.7502 0.1241 1
S1 0.2493 0.2482 0.8749 1
S2 0.2502 0.5809 0.3772 1
S3 0.2504 0.5824 0.8714 1
```

Compound: PbClF
Source: Alexandria via LeMat-Bulk
Functional: PBE
Structure: optimized geometry

Summary:
The value obtained for the formation energy without anion corrections is -1.718 eV per atom. The value obtained for the total magnetic moment is 0.00 μB per formula unit.

```
data_PbClF
_symmetry_space_group_name_H-M 'C 1 m 1'
_symmetry_Int_Tables_number 8
_symmetry_space_group_name_Hall 'C -2y'
_cell_length_a 8.4539
_cell_length_b 8.6587
_cell_length_c 4.2009
_cell_angle_alpha 90.00
_cell_angle_beta 119.30
_cell_angle_gamma 90.00
loop_
_atom_site_label
_atom_site_fract_x
_atom_site_fract_y
_atom_site_fract_z
_atom_site_occupancy
Pb1 0.0000 0.2430 0.0000 1
Cl1 0.1421 0.0000 0.6491 1
Cl2 0.1847 0.5000 0.6933 1
F1 0.3321 0.2330 0.3361 1
```